Computed, not measured: a relaxed Ba5NdSe6 crystal at the GGA-PBE level of DFT.

Unit cell a=8.005 b=8.016 c=8.010 alpha=59.97 beta=80.37 gamma=70.47
Fractional positions:
Se  0.239  0.232  0.000
Se  0.764  0.391  0.687
Se  0.236  0.921  0.687
Se  0.236  0.609  0.313
Se  0.764  0.079  0.313
Se  0.761  0.768  0.000
Ba  0.500  0.500  0.000
Ba  0.500  0.830  0.340
Ba  0.500  0.170  0.660
Ba  0.000  0.334  0.332
Ba  0.000  0.666  0.668
Nd  0.000  0.000  0.000

Results
- DFT total energy: -4.93 eV per atom
- V: 419 Å³/f.u.
- Formation energy without anion corrections: -23.9 eV/f.u.
- N(E_F): 0.23 states/eV/atom